Entry 1:
Computed, not measured: an optimized crystal structure of Cr2NiPt2 at the PBE-GGA level of DFT.

abc: 7.327 7.327 2.651
angles: 90.00 90.00 90.00
Sites, in units of the cell vectors:
Cr 0.668 0.832 0.500
Ni 0.000 0.000 0.000
Pt 0.131 0.369 0.000
Ni 0.500 0.500 0.000
Pt 0.631 0.131 0.000
Cr 0.168 0.668 0.500
Cr 0.332 0.168 0.500
Cr 0.832 0.332 0.500
Pt 0.869 0.631 0.000
Pt 0.369 0.869 0.000

Output
The value obtained for the energy of formation is 0.154 eV per atom. Its space group is P4/mbm. The excess energy over the best structure of this formula in the dataset comes out at 135 meV per atom.



Entry 2:
Computed, not measured: an optimized crystal structure of TcRu2Pb at the PBE-GGA level of DFT.

abc: 2.869 3.808 6.148
angles: 90.00 90.00 90.00
Sites, in units of the cell vectors:
Ru 0.000 0.000 0.034
Ru 0.500 0.500 0.256
Tc 0.000 0.000 0.453
Pb 0.500 0.500 0.756

Output
The value obtained for the energy of formation is 0.535 eV per atom. Its space group is Pmm2.



Entry 3:
Computed, not measured: an optimized crystal structure of HoTiCo2 at the PBE-GGA level of DFT.

abc: 3.084 3.084 6.555
angles: 90.00 90.00 90.00
Sites, in units of the cell vectors:
Ho 0.500 0.500 0.500
Co 0.000 0.000 0.793
Ti 0.500 0.500 0.000
Co 0.000 0.000 0.207

Output
The value obtained for the energy of formation is -0.256 eV per atom. Its space group is P4/mmm. The excess energy over the best structure of this formula in the dataset comes out at 0 meV per atom.



Look up the energy of formation of the third one. -0.256 eV per atom



The highest energy of formation belongs to which entry? TcRu2Pb



What is the energy of formation in the second record? 0.535 eV per atom



Which of these has the lowest energy of formation? HoTiCo2